Record 1
This record from Alexandria describes FeAs2HSe at its PBEsol-relaxed geometry. The functional is meta-GGA SCAN.

Summary:
**V**: 74 Å³ per cell
**DFT total energy**: -15.71 eV/atom

Geometry as extended XYZ:
```
5
Lattice="-3.082 0.707 2.171 -1.054 -3.675 -0.300 2.659 -1.100 4.132" Properties=species:S:1:pos:R:3 pbc="T T T"
H 0.000 0.000 0.000
As -0.527 -1.838 -0.150
As -1.541 0.353 1.086
Fe -0.738 -2.034 3.002
Se 1.330 -0.550 2.066
```



Record 2
This record from Alexandria describes NaLi3Tl at its PBEsol-relaxed geometry. The functional is meta-GGA SCAN.

Summary:
**V**: 142 Å³ per cell
**DFT total energy**: -16.79 eV/atom

Geometry as extended XYZ:
```
5
Lattice="5.222 0.000 0.000 0.000 5.222 0.000 0.000 0.000 5.222" Properties=species:S:1:pos:R:3 pbc="T T T"
Na 2.611 2.611 2.611
Tl 0.000 0.000 0.000
Li 0.000 2.611 0.000
Li 0.000 0.000 2.611
Li 2.611 0.000 0.000
```



Record 3
This record from Alexandria describes LiCuRh at its PBEsol-relaxed geometry. The functional is meta-GGA SCAN.

Summary:
**V**: 37 Å³ per cell
**ΔE to the lowest computed polymorph**: 0 meV/atom
**DFT total energy**: -17.15 eV/atom

Geometry as extended XYZ:
```
3
Lattice="2.455 0.000 0.000 0.000 4.154 0.000 0.000 -2.077 3.597" Properties=species:S:1:pos:R:3 pbc="T T T"
Rh 0.851 2.077 1.199
Cu 2.181 0.000 0.000
Li 1.878 0.000 2.398
```



Record 4
This record from Alexandria describes Ba3NaSb at its PBEsol-relaxed geometry. The functional is meta-GGA SCAN.

Summary:
**V**: 231 Å³ per cell
**Formation energy without anion corrections**: 164 meV per atom
**DFT total energy**: -31.86 eV/atom

Geometry as extended XYZ:
```
5
Lattice="6.131 0.000 0.000 0.000 6.131 0.000 0.000 0.000 6.131" Properties=species:S:1:pos:R:3 pbc="T T T"
Sb 3.066 3.066 3.066
Ba 0.000 3.066 0.000
Ba 0.000 0.000 3.066
Ba 3.066 0.000 0.000
Na 0.000 0.000 0.000
```



Record 5
This record from Alexandria describes NiTeS2Cl at its PBEsol-relaxed geometry. The functional is meta-GGA SCAN.

Summary:
**V**: 88 Å³ per cell
**Formation energy without anion corrections**: 108 meV per atom
**DFT total energy**: -16.02 eV/atom

Geometry as extended XYZ:
```
5
Lattice="4.341 0.000 0.000 0.000 4.508 0.000 0.000 0.000 4.508" Properties=species:S:1:pos:R:3 pbc="T T T"
Ni 0.000 0.000 0.000
S 0.000 0.000 2.254
S 0.000 2.254 0.000
Te 2.170 2.254 2.254
Cl 2.170 0.000 0.000
```



Record 6
This record from Alexandria describes BaLa2Cd at its PBEsol-relaxed geometry. The functional is meta-GGA SCAN.

Summary:
**V**: 140 Å³ per cell
**ΔE to the lowest computed polymorph**: 15 meV/atom
**DFT total energy**: -39.18 eV/atom

Geometry as extended XYZ:
```
4
Lattice="-3.714 1.153 -0.129 -1.736 -5.607 -0.120 2.494 2.167 6.258" Properties=species:S:1:pos:R:3 pbc="T T T"
La -2.855 -2.261 3.331
La -0.101 -0.026 2.678
Ba -0.868 -2.803 -0.060
Cd -1.857 0.576 -0.064
```



Record 7
This record from Alexandria describes AgRu2Br at its PBEsol-relaxed geometry. The functional is meta-GGA SCAN.

Summary:
**V**: 61 Å³ per cell
**Formation energy without anion corrections**: 1146 meV per atom
**ΔE to the lowest computed polymorph**: 242 meV/atom
**DFT total energy**: -28.97 eV/atom

Geometry as extended XYZ:
```
4
Lattice="4.500 0.000 0.000 0.000 4.500 0.000 0.000 0.000 3.007" Properties=species:S:1:pos:R:3 pbc="T T T"
Ru 0.000 2.250 0.000
Ru 2.250 0.000 0.000
Br 0.000 0.000 1.503
Ag 2.250 2.250 1.503
```



Record 8
This record from Alexandria describes Al2InN3 at its PBEsol-relaxed geometry. The functional is meta-GGA SCAN.

Summary:
**V**: 143 Å³ per cell
**Formation energy without anion corrections**: -1142 meV per atom
**DFT total energy**: -13.94 eV/atom

Geometry as extended XYZ:
```
12
Lattice="5.207 0.000 0.000 0.000 5.612 0.000 0.000 -2.806 4.880" Properties=species:S:1:pos:R:3 pbc="T T T"
N 1.855 -0.836 1.800
N 1.855 1.970 3.079
N 4.459 3.642 3.079
N 4.459 0.836 1.800
N 2.109 1.682 0.000
N 4.713 3.930 0.000
Al 5.163 -0.918 1.673
Al 5.163 1.888 3.207
Al 2.560 3.724 3.207
Al 2.560 0.918 1.673
In 5.139 1.809 0.000
In 2.536 3.803 0.000
```



Record 9
This record from Alexandria describes LiFeIr2 at its PBEsol-relaxed geometry. The functional is meta-GGA SCAN.

Summary:
**V**: 50 Å³ per cell
**DFT total energy**: -40.76 eV/atom

Geometry as extended XYZ:
```
4
Lattice="-1.462 0.400 -2.142 0.884 -4.128 -1.374 -3.685 -0.346 2.450" Properties=species:S:1:pos:R:3 pbc="T T T"
Fe -2.132 -2.037 -0.533
Ir 0.442 -2.064 -0.687
Ir -1.843 -0.173 1.225
Li -0.731 0.200 -1.071
```



Record 10
This record from Alexandria describes BeSb2TePd at its PBEsol-relaxed geometry. The functional is meta-GGA SCAN.

Summary:
**V**: 137 Å³ per cell
**Formation energy without anion corrections**: 851 meV per atom
**DFT total energy**: -28.93 eV/atom

Geometry as extended XYZ:
```
5
Lattice="-0.107 -3.169 -3.968 2.697 -3.398 2.641 -4.515 -2.153 1.841" Properties=species:S:1:pos:R:3 pbc="T T T"
Sb 1.349 -1.699 1.320
Sb -0.054 -1.584 -1.984
Te -2.257 -1.077 0.921
Pd 0.000 0.000 0.000
Be -0.962 -4.360 0.257
```



Record 11
This record from Alexandria describes Al2Ag at its PBEsol-relaxed geometry. The functional is meta-GGA SCAN.

Summary:
**V**: 98 Å³ per cell
**DFT total energy**: -15.63 eV/atom

Geometry as extended XYZ:
```
6
Lattice="-1.323 -3.402 -1.697 3.630 -0.614 -1.598 3.469 -3.421 4.152" Properties=species:S:1:pos:R:3 pbc="T T T"
Al -0.661 -1.701 -0.849
Al 4.068 -4.386 0.847
Al 1.815 -0.307 -0.799
Al 1.707 -3.050 0.010
Ag 2.924 -2.396 2.523
Ag 4.174 -1.639 0.031
```



Record 12
This record from Alexandria describes SrBeIr2 at its PBEsol-relaxed geometry. The functional is meta-GGA SCAN.

Summary:
**V**: 62 Å³ per cell
**DFT total energy**: -42.20 eV/atom

Geometry as extended XYZ:
```
4
Lattice="2.890 0.000 0.000 0.000 2.890 0.000 0.000 0.000 7.436" Properties=species:S:1:pos:R:3 pbc="T T T"
Sr 1.445 1.445 0.000
Ir 0.000 0.000 5.059
Ir 0.000 0.000 2.377
Be 1.445 1.445 3.718
```



Which of these has the lowest V? LiCuRh